No. 1
Below is SiAsPd3 after structural relaxation, with properties calculated at the PBE level.

Results
energy above the most stable polymorph in this dataset = 471 meV/atom
ΔE_f (raw) = 19 kJ/mol of formula units
M_tot = 0.0 μB per formula unit
space group = Pm-3m, No. 221

Lattice parameters (Å, degrees): 4.5222 4.5222 4.5222 90.00 90.00 90.00
Element x y z (fractional)
Si: 0.0000 0.0000 0.0000
As: 0.5000 0.5000 0.5000
Pd: 0.0000 0.0000 0.5000
Pd: 0.0000 0.5000 0.0000
Pd: 0.5000 0.0000 0.0000

=====

No. 2
Below is SmGd2Cu after structural relaxation, with properties calculated at the PBE level.

Results
energy above the most stable polymorph in this dataset = 119 meV/atom
formation energy from the elements = 0.037 eV per atom
M_tot = 15.0 μB per formula unit
space group = R-3m, No. 166

Lattice parameters (Å, degrees): 10.2109 10.2109 10.2109 20.60 20.60 20.60
Element x y z (fractional)
Sm: 0.0000 0.0000 0.0000
Gd: 0.2340 0.2340 0.2340
Gd: 0.7660 0.7660 0.7660
Cu: 0.5000 0.5000 0.5000

=====

No. 3
Below is InTcPd2Pb after structural relaxation, with properties calculated at the PBE level.

Results
formation energy from the elements = 0.942 eV per atom
M_tot = 2.7 μB per formula unit
space group = P4/mmm, No. 123

Lattice parameters (Å, degrees): 4.9703 4.9703 5.2452 90.00 90.00 90.00
Element x y z (fractional)
In: 0.0000 0.0000 0.0000
Tc: 0.0000 0.0000 0.5000
Pd: 0.0000 0.5000 0.0000
Pd: 0.5000 0.0000 0.0000
Pb: 0.5000 0.5000 0.5000